DFT (PBE) results for SmIn2Te4Pb after structural relaxation.

a b c (Å): 7.9662 4.4785 8.0929
angles (deg): 90.00 108.82 90.00
Space group P2/m (No. 10)
Unique sites:
Sm: 0.0000 0.0000 0.0000 [1 per cell]
In: 0.0000 0.5000 0.5000 [1 per cell]
In: 0.5000 0.0000 0.5000 [1 per cell]
Te: 0.2343 0.5000 0.2386 [2 per cell]
Te: 0.2359 0.0000 0.7516 [2 per cell]
Pb: 0.5000 0.5000 0.0000 [1 per cell]

- uncorrected energy (eV/atom) = -3.9454
- E_form (uncorrected) (meV per atom) = -636.5
- crystal system = monoclinic